Computed, not measured: SrHS2 after structural relaxation at the PBE level of DFT.

Computed properties:
symmetry = I4_1/amd
offset from the most stable computed form = 0.554 eV per atom

a = 5.016 Å, b = 5.016 Å, c = 7.125 Å
α = 69.39°, β = 69.39°, γ = 90.00°
Fractional positions:
Sr 0.750 0.250 0.500
Sr 0.000 0.000 0.000
H 0.500 0.500 0.000
H 0.250 0.750 0.500
S 0.875 0.625 0.750
S 0.375 0.625 0.750
S 0.375 0.625 0.250
S 0.375 0.125 0.250



Computed, not measured: NaTiSe2N after structural relaxation at the PBE level of DFT.

Computed properties:
symmetry = P4/mmm
energy relative to the elements, uncorrected = 1.081 eV per atom
offset from the most stable computed form = 1.527 eV per atom

a = 5.158 Å, b = 5.158 Å, c = 4.067 Å
α = 90.00°, β = 90.00°, γ = 90.00°
Last column: magnetic moment on the atom in μB.
Fractional positions:
N 0.000 0.000 0.500  1.63
Ti 0.500 0.500 0.500  1.36
Se 0.000 0.500 0.000  0.08
Se 0.500 0.000 0.000  0.08
Na 0.000 0.000 0.000  0.03



Computed, not measured: Er3RuSe after structural relaxation at the PBE level of DFT.

Computed properties:
symmetry = C2/m
energy relative to the elements, uncorrected = -0.811 eV per atom

a = 3.987 Å, b = 7.686 Å, c = 9.894 Å
α = 62.98°, β = 89.99°, γ = 74.99°
Fractional positions:
Er 0.247 0.895 0.052
Er 0.266 0.857 0.633
Er 0.569 0.252 0.331
Er 0.833 0.724 0.390
Er 0.550 0.290 0.750
Er 0.983 0.423 0.994
Ru 0.622 0.146 0.074
Ru 0.194 0.001 0.309
Se 0.052 0.287 0.543
Se 0.764 0.861 0.840



Computed, not measured: Sm2Zn2Cd3 after structural relaxation at the PBE level of DFT.

Computed properties:
formation energy = -202 kJ/mol of formula units
symmetry = C2/m
offset from the most stable computed form = 0.000 eV per atom

a = 4.440 Å, b = 5.739 Å, c = 7.491 Å
α = 111.77°, β = 90.00°, γ = 112.76°
Fractional positions:
Zn 0.847 0.693 0.802
Zn 0.153 0.307 0.198
Sm 0.141 0.282 0.780
Sm 0.859 0.718 0.220
Cd 0.500 0.000 0.000
Cd 0.378 0.756 0.563
Cd 0.622 0.244 0.437



Computed, not measured: CaSm7Dy4 after structural relaxation at the PBE level of DFT.

Computed properties:
formation energy = 30 kJ/mol of formula units
symmetry = P-1

a = 7.296 Å, b = 9.643 Å, c = 8.989 Å
α = 81.07°, β = 89.89°, γ = 40.88°
Fractional positions:
Sm 0.500 0.000 0.000
Sm 0.757 0.501 0.001
Sm 0.243 0.499 0.999
Sm 0.774 0.226 0.340
Sm 0.029 0.717 0.338
Sm 0.971 0.283 0.662
Sm 0.226 0.774 0.660
Dy 0.464 0.282 0.663
Dy 0.720 0.780 0.668
Dy 0.536 0.718 0.337
Dy 0.280 0.220 0.332
Ca 0.000 0.000 0.000



Computed, not measured: Sn3HgSb2 after structural relaxation at the PBE level of DFT.

Computed properties:
symmetry = P-1
energy relative to the elements, uncorrected = 0.043 eV per atom

a = 4.350 Å, b = 6.852 Å, c = 12.675 Å
α = 74.37°, β = 91.72°, γ = 106.80°
Fractional positions:
Sb 0.228 0.453 0.850
Sb 0.799 0.974 0.358
Sb 0.201 0.026 0.642
Sb 0.772 0.547 0.150
Sn 0.562 0.735 0.603
Sn 0.858 0.739 0.904
Sn 0.483 0.903 0.139
Sn 0.142 0.261 0.096
Sn 0.517 0.097 0.861
Sn 0.438 0.265 0.397
Hg 0.879 0.381 0.619
Hg 0.121 0.619 0.381



Computed, not measured: Pr2NbGe3Ir4 after structural relaxation at the PBE level of DFT.

Computed properties:
formation energy = -710 kJ/mol of formula units
symmetry = P-4m2

a = 4.231 Å, b = 4.231 Å, c = 10.716 Å
α = 90.00°, β = 90.00°, γ = 90.00°
Fractional positions:
Ge 0.000 0.000 0.500
Ge 0.000 0.500 0.128
Ge 0.500 0.000 0.872
Pr 0.000 0.500 0.759
Pr 0.500 0.000 0.241
Ir 0.500 0.000 0.640
Ir 0.500 0.500 0.000
Ir 0.000 0.500 0.360
Ir 0.000 0.000 0.000
Nb 0.500 0.500 0.500



Computed, not measured: Tl2Ag2Cl after structural relaxation at the PBE level of DFT.

Computed properties:
symmetry = P4/mbm
energy relative to the elements, uncorrected = -0.096 eV per atom
offset from the most stable computed form = 0.095 eV per atom

a = 7.950 Å, b = 7.950 Å, c = 3.949 Å
α = 90.00°, β = 90.00°, γ = 90.00°
Fractional positions:
Ag 0.377 0.877 0.000
Ag 0.123 0.377 0.000
Ag 0.623 0.123 0.000
Ag 0.877 0.623 0.000
Cl 0.000 0.000 0.000
Cl 0.500 0.500 0.000
Tl 0.178 0.678 0.500
Tl 0.322 0.178 0.500
Tl 0.678 0.822 0.500
Tl 0.822 0.322 0.500



Computed, not measured: KSnBi after structural relaxation at the PBE level of DFT.

Computed properties:
formation energy = -71 kJ/mol of formula units
symmetry = P-1

a = 6.748 Å, b = 7.076 Å, c = 7.067 Å
α = 133.80°, β = 106.83°, γ = 91.81°
Fractional positions:
K 0.803 0.057 0.246
K 0.197 0.943 0.754
Sn 0.223 0.663 0.064
Sn 0.777 0.337 0.936
Bi 0.398 0.339 0.563
Bi 0.602 0.661 0.437



Computed, not measured: Sr4BiAu3 after structural relaxation at the PBE level of DFT.

Computed properties:
formation energy = -594 kJ/mol of formula units
symmetry = I4/mmm

a = 5.563 Å, b = 5.563 Å, c = 8.770 Å
α = 108.54°, β = 108.54°, γ = 89.99°
Fractional positions:
Bi 0.500 0.000 0.000
Sr 0.371 0.371 0.743
Sr 0.129 0.129 0.257
Sr 0.629 0.629 0.257
Sr 0.871 0.871 0.743
Au 0.752 0.252 0.506
Au 0.000 0.500 0.000
Au 0.248 0.748 0.494



Computed, not measured: Ca2FePN after structural relaxation at the PBE level of DFT.

Computed properties:
symmetry = P4/mmm
energy relative to the elements, uncorrected = 0.391 eV per atom

a = 5.367 Å, b = 5.367 Å, c = 4.192 Å
α = 90.00°, β = 90.00°, γ = 90.00°
Last column: magnetic moment on the atom in μB.
Fractional positions:
Ca 0.000 0.500 0.000  -0.01
Ca 0.500 0.000 0.000  -0.01
N 0.500 0.500 0.500  0.91
P 0.000 0.000 0.000  0.04
Fe 0.000 0.000 0.500  2.58



Computed, not measured: Li2NdIrO6 after structural relaxation at the PBE level of DFT.

Computed properties:
symmetry = P2_1/c
energy relative to the elements, uncorrected = -1.651 eV per atom

a = 5.409 Å, b = 5.521 Å, c = 7.953 Å
α = 90.00°, β = 91.00°, γ = 90.00°
Last column: magnetic moment on the atom in μB.
Fractional positions:
O 0.887 0.807 0.916  0.09
O 0.387 0.693 0.416  0.09
O 0.621 0.097 0.279  0.08
O 0.121 0.403 0.779  0.08
O 0.113 0.193 0.084  0.09
O 0.379 0.903 0.721  0.08
O 0.314 0.632 0.059  0.10
O 0.613 0.307 0.584  0.09
O 0.814 0.868 0.559  0.10
O 0.186 0.132 0.441  0.10
O 0.686 0.368 0.941  0.10
O 0.879 0.597 0.221  0.08
Nd 0.500 0.000 0.000  0.02
Nd 0.000 0.500 0.500  0.02
Li 0.029 0.023 0.739  0.01
Li 0.529 0.477 0.239  0.01
Li 0.971 0.977 0.261  0.01
Li 0.471 0.523 0.761  0.01
Ir 0.000 0.500 0.000  0.77
Ir 0.500 0.000 0.500  0.77



Computed, not measured: ZrHIrPt2 after structural relaxation at the PBE level of DFT.

Computed properties:
symmetry = P4/mmm

a = 4.063 Å, b = 4.063 Å, c = 4.129 Å
α = 90.00°, β = 90.00°, γ = 90.00°
Fractional positions:
H 0.000 0.000 0.000
Pt 0.500 0.000 0.000
Pt 0.000 0.500 0.000
Zr 0.500 0.500 0.500
Ir 0.000 0.000 0.500



Computed, not measured: UCoAu after structural relaxation at the PBE level of DFT.

Computed properties:
formation energy = -17 kJ/mol of formula units
symmetry = I4mm

a = 3.108 Å, b = 3.108 Å, c = 5.899 Å
α = 105.28°, β = 105.28°, γ = 90.00°
Last column: magnetic moment on the atom in μB.
Fractional positions:
Co 0.674 0.674 0.349  -0.38
U 0.309 0.309 0.617  1.79
Au 0.017 0.017 0.034  0.03



Computed, not measured: SrSb2Cl after structural relaxation at the PBE level of DFT.

Computed properties:
symmetry = F-43m
energy relative to the elements, uncorrected = -0.670 eV per atom
offset from the most stable computed form = 0.367 eV per atom

a = 5.503 Å, b = 5.503 Å, c = 5.503 Å
α = 60.00°, β = 60.00°, γ = 60.00°
Fractional positions:
Sb 0.250 0.250 0.250
Sb 0.000 0.000 0.000
Cl 0.500 0.500 0.500
Sr 0.750 0.750 0.750



Computed, not measured: Zr4Br4O after structural relaxation at the PBE level of DFT.

Computed properties:
symmetry = R3m
energy relative to the elements, uncorrected = -1.433 eV per atom

a = 20.735 Å, b = 20.735 Å, c = 20.735 Å
α = 9.99°, β = 9.99°, γ = 9.99°
Fractional positions:
Zr 0.397 0.397 0.397
Zr 0.103 0.103 0.103
Zr 0.898 0.898 0.898
Zr 0.602 0.602 0.602
O 0.431 0.431 0.431
Br 0.201 0.201 0.201
Br 0.802 0.802 0.802
Br 0.299 0.299 0.299
Br 0.699 0.699 0.699



Computed, not measured: V2SbPCl after structural relaxation at the PBE level of DFT.

Computed properties:
symmetry = P4/mmm
energy relative to the elements, uncorrected = 0.843 eV per atom

a = 4.530 Å, b = 4.824 Å, c = 4.530 Å
α = 90.00°, β = 90.00°, γ = 90.00°
Last column: magnetic moment on the atom in μB.
Fractional positions:
Sb 0.500 0.500 0.500  -0.03
Cl 0.000 0.000 0.000  -0.03
P 0.000 0.500 0.000  -0.07
V 0.500 0.000 0.000  2.30
V 0.000 0.000 0.500  2.27



Computed, not measured: Li2ReAu after structural relaxation at the PBE level of DFT.

Computed properties:
formation energy = 73 kJ/mol of formula units
symmetry = Pmmm
offset from the most stable computed form = 0.181 eV per atom

a = 2.663 Å, b = 4.891 Å, c = 4.707 Å
α = 90.00°, β = 90.00°, γ = 90.00°
Last column: magnetic moment on the atom in μB.
Fractional positions:
Li 0.500 0.500 0.000  -0.01
Li 0.000 0.000 0.000  0.00
Au 0.000 0.500 0.500  0.04
Re 0.500 0.000 0.500  0.53



Computed, not measured: SmPaZnPd after structural relaxation at the PBE level of DFT.

Computed properties:
formation energy = -79 kJ/mol of formula units
symmetry = F-43m

a = 5.043 Å, b = 5.043 Å, c = 5.043 Å
α = 60.00°, β = 60.00°, γ = 60.00°
Last column: magnetic moment on the atom in μB.
Fractional positions:
Pa 0.750 0.750 0.750  0.56
Sm 0.250 0.250 0.250  0.12
Zn 0.500 0.500 0.500  0.00
Pd 0.000 0.000 0.000  -0.01



Computed, not measured: Pm3Be4Rh4 after structural relaxation at the PBE level of DFT.

Computed properties:
formation energy = -546 kJ/mol of formula units
symmetry = I-43m

a = 6.249 Å, b = 6.249 Å, c = 6.249 Å
α = 109.47°, β = 109.47°, γ = 109.47°
Fractional positions:
Be 0.000 0.000 0.641
Be 0.641 0.000 0.000
Be 0.000 0.641 0.000
Be 0.359 0.359 0.359
Rh 0.278 0.000 0.000
Rh 0.000 0.278 0.000
Rh 0.722 0.722 0.722
Rh 0.000 0.000 0.278
Pm 0.500 0.500 0.000
Pm 0.000 0.500 0.500
Pm 0.500 0.000 0.500



Q: Which size of the total moment values were calculated for the entries above? A: 0.0; 4.2; 0.0; 0.0; 0.0; 0.0; 0.0; 0.0; 0.0; 0.0; 3.9; 3.1; 0.0; 1.6; 0.0; 0.0; 5.3; 0.7; 0.8; 0.0, in μB/cell.
Q: Which electronic total energy values were calculated for the entries above? A: -30.35; -19.10; -61.01; -16.83; -53.13; -40.59; -76.28; -25.53; -19.43; -26.59; -24.25; -127.44; -35.85; -21.85; -14.45; -58.74; -25.40; -18.79; -21.50; -64.23, in eV per cell.